# 1
First-principles (PBE) data for a relaxed structure of LuSnOsRh, as listed in Alexandria via LeMat-Bulk.

a b c (Å): 4.638 4.638 4.638
angles (deg): 60.00 60.00 60.00
Positions (direct):
Rh (0.500, 0.500, 0.500)
Lu (0.750, 0.750, 0.750)
Os (0.000, 0.000, 0.000)
Sn (0.250, 0.250, 0.250)

Summary:
M_tot   0.00 μB per cell
Space group   F-43m (216)
ΔH_f (0 K)   -0.4676 eV/atom


# 2
First-principles (PBE) data for a relaxed structure of Tb3Dy2Cd4, as listed in Alexandria via LeMat-Bulk.

a b c (Å): 6.683 8.077 10.004
angles (deg): 90.00 109.51 90.00
Positions (direct):
Tb (0.000, 0.000, 0.000)
Tb (0.500, 0.500, 0.000)
Tb (0.505, 0.750, 0.509)
Tb (0.995, 0.250, 0.491)
Tb (0.495, 0.250, 0.491)
Tb (0.005, 0.750, 0.509)
Dy (0.091, 0.601, 0.183)
Dy (0.909, 0.399, 0.817)
Dy (0.409, 0.101, 0.817)
Dy (0.591, 0.899, 0.183)
Cd (0.674, 0.750, 0.847)
Cd (0.826, 0.250, 0.153)
Cd (0.326, 0.250, 0.153)
Cd (0.174, 0.750, 0.847)
Cd (0.159, 0.980, 0.318)
Cd (0.841, 0.020, 0.682)
Cd (0.341, 0.480, 0.682)
Cd (0.659, 0.520, 0.318)

Summary:
M_tot   0.00 μB per cell
Space group   Cmce (64)
ΔH_f (0 K)   -0.1363 eV/atom


# 3
First-principles (PBE) data for a relaxed structure of ZnAgBr2, as listed in Alexandria via LeMat-Bulk.

a b c (Å): 5.066 5.066 5.066
angles (deg): 60.00 60.00 60.00
Positions (direct):
Zn (0.000, 0.000, 0.000)
Br (0.250, 0.250, 0.250)
Br (0.750, 0.750, 0.750)
Ag (0.500, 0.500, 0.500)

Summary:
M_tot   0.00 μB per cell
Space group   Fm-3m (225)
E_form (uncorrected)   -0.017 eV/atom


# 4
First-principles (PBE) data for a relaxed structure of LaPu3Sb4, as listed in Alexandria via LeMat-Bulk.

a b c (Å): 7.756 7.751 8.982
angles (deg): 90.00 90.00 109.63
Site moments in Bohr magnetons follow the coordinates.
Positions (direct):
Sb (0.005, 0.254, 0.620)  -0.06
Sb (0.499, 0.260, 0.871)  0.00
Sb (0.505, 0.254, 0.380)  -0.06
Sb (0.999, 0.260, 0.129)  0.00
Sb (0.001, 0.740, 0.871)  0.00
Sb (0.495, 0.746, 0.620)  -0.06
Sb (0.501, 0.740, 0.129)  0.00
Sb (0.995, 0.746, 0.380)  -0.06
Pu (0.750, 0.000, 0.376)  5.25
Pu (0.250, 0.000, 0.624)  5.25
Pu (0.750, 0.500, 0.624)  5.21
Pu (0.750, 0.500, 0.125)  -5.26
Pu (0.250, 0.500, 0.376)  5.21
Pu (0.250, 0.500, 0.875)  -5.26
La (0.750, 0.000, 0.874)  -0.01
La (0.250, 0.000, 0.126)  -0.01

Summary:
M_tot   10.45 μB per cell
Space group   P2/c (13)
E_form (uncorrected)   -0.739 eV/atom


# 5
First-principles (PBE) data for a relaxed structure of CaPm2Nd6, as listed in Alexandria via LeMat-Bulk.

a b c (Å): 5.894 12.252 12.252
angles (deg): 48.39 103.92 103.92
Positions (direct):
Ca (0.250, 0.247, 0.753)
Ca (0.750, 0.753, 0.247)
Pm (0.516, 0.831, 0.667)
Pm (0.984, 0.333, 0.169)
Pm (0.484, 0.169, 0.333)
Pm (0.016, 0.667, 0.831)
Nd (0.804, 0.507, 0.662)
Nd (0.696, 0.338, 0.493)
Nd (0.196, 0.493, 0.338)
Nd (0.304, 0.662, 0.507)
Nd (0.920, 0.922, 0.418)
Nd (0.580, 0.582, 0.078)
Nd (0.080, 0.078, 0.582)
Nd (0.420, 0.418, 0.922)
Nd (0.145, 0.828, 0.002)
Nd (0.355, 0.998, 0.172)
Nd (0.855, 0.172, 0.998)
Nd (0.645, 0.002, 0.828)

Summary:
M_tot   0.00 μB per cell
Space group   C2/c (15)
ΔH_f (0 K)   0.0893 eV/atom


# 6
First-principles (PBE) data for a relaxed structure of KBaLa2, as listed in Alexandria via LeMat-Bulk.

a b c (Å): 6.741 6.741 4.097
angles (deg): 90.00 90.00 90.00
Positions (direct):
Ba (0.500, 0.000, 0.500)
K (0.000, 0.500, 0.500)
La (0.000, 0.000, 0.000)
La (0.500, 0.500, 0.000)

Summary:
M_tot   0.00 μB per cell
Space group   P4/mmm (123)
ΔH_f (0 K)   0.4688 eV/atom